# 1
TcAs2: relaxed, PBE.

Cell lengths 2.960, 5.645, 6.387 Å; angles 90.00, 90.00, 90.00 degrees
Positions (direct):
As 0.000 0.173 0.631
As 0.000 0.827 0.369
As 0.500 0.673 0.869
As 0.500 0.327 0.131
Tc 0.000 0.000 0.000
Tc 0.500 0.500 0.500

Results
E_form	-0.191	eV per atom
total magnetic moment	0.00	μB/cell
energy above the most stable polymorph in this dataset	0	meV/atom

---

# 2
IrIO: relaxed, PBE.

Cell lengths 4.048, 5.481, 6.392 Å; angles 100.10, 104.45, 95.94 degrees
Positions (direct):
Ir 0.500 0.500 0.000
Ir 0.000 0.500 0.500
I 0.625 0.776 0.720
I 0.375 0.224 0.280
O 0.139 0.324 0.756
O 0.861 0.676 0.244

Results
formation energy without anion corrections	-0.046	eV/atom
total magnetic moment	0.00	μB/cell
energy above the most stable polymorph in this dataset	49	meV/atom

---

# 3
Na3Pa2AgSe6: relaxed, PBE.

Cell lengths 4.144, 8.487, 9.489 Å; angles 106.93, 102.61, 90.00 degrees
Last column: magnetic moment on the atom in μB.
Positions (direct):
Na 0.500 0.500 0.000  0.00
Na 0.839 0.175 0.679  0.00
Na 0.161 0.825 0.321  0.00
Pa 0.842 0.687 0.684  0.95
Pa 0.158 0.313 0.316  0.95
Ag 0.500 0.000 0.000  -0.01
Se 0.331 0.909 0.661  -0.02
Se 0.675 0.564 0.349  -0.03
Se 0.669 0.091 0.339  -0.02
Se 0.005 0.245 0.009  -0.02
Se 0.995 0.755 0.991  -0.02
Se 0.325 0.436 0.651  -0.03

Results
formation energy without anion corrections	-1.148	eV/atom
total magnetic moment	2.01	μB/cell

---

# 4
LaPmSmEr3: relaxed, PBE.

Cell lengths 5.621, 10.343, 7.107 Å; angles 90.29, 90.00, 105.77 degrees
Positions (direct):
La 0.354 0.708 0.959
La 0.646 0.292 0.041
Pm 0.649 0.297 0.462
Pm 0.351 0.703 0.538
Sm 0.054 0.109 0.261
Sm 0.946 0.891 0.739
Er 0.837 0.674 0.259
Er 0.778 0.557 0.754
Er 0.476 0.952 0.257
Er 0.222 0.443 0.246
Er 0.524 0.048 0.743
Er 0.163 0.326 0.741

Results
E_form	0.193	eV per atom
total magnetic moment	0.00	μB/cell

---

# 5
YCdRu2Au: relaxed, PBE.

Cell lengths 4.867, 5.354, 4.867 Å; angles 90.00, 90.00, 90.00 degrees
Last column: magnetic moment on the atom in μB.
Positions (direct):
Y 0.000 0.500 0.000  -0.15
Ru 0.000 0.000 0.500  1.22
Ru 0.500 0.000 0.000  1.07
Au 0.500 0.500 0.500  0.00
Cd 0.000 0.000 0.000  -0.02

Results
E_form	1.437	eV per atom
total magnetic moment	2.08	μB/cell

---

# 6
RbCd2InHg: relaxed, PBE.

Cell lengths 5.732, 5.732, 5.753 Å; angles 90.00, 90.00, 90.00 degrees
Positions (direct):
Cd 0.000 0.500 0.000
Cd 0.500 0.000 0.000
Hg 0.000 0.000 0.500
Rb 0.500 0.500 0.500
In 0.000 0.000 0.000

Results
E_form	0.021	eV per atom
total magnetic moment	0.00	μB/cell
energy above the most stable polymorph in this dataset	126	meV/atom

---

# 7
SmCdGe: relaxed, PBE.

Cell lengths 4.152, 4.492, 4.492 Å; angles 120.00, 90.00, 90.00 degrees
Positions (direct):
Ge 0.083 0.000 0.000
Sm 0.687 0.667 0.333
Cd 0.230 0.333 0.667

Results
E_form	-0.481	eV per atom
total magnetic moment	0.00	μB/cell

---

# 8
DyMg2Ag3: relaxed, PBE.

Cell lengths 3.415, 3.415, 10.514 Å; angles 90.00, 90.00, 90.00 degrees
Positions (direct):
Dy 0.500 0.500 0.500
Mg 0.500 0.500 0.843
Mg 0.500 0.500 0.157
Ag 0.000 0.000 0.000
Ag 0.000 0.000 0.691
Ag 0.000 0.000 0.309

Results
E_form	-0.251	eV per atom
total magnetic moment	0.00	μB/cell

---

What is the formula in the sixth record?
RbCd2InHg